## Ba2SrHgRh (GGA-PBE)

Data for a relaxed structure of Ba2SrHgRh.

Lattice parameters (Å, degrees): 6.027 6.027 5.821 90.00 90.00 90.00
Fractional coordinates of all 5 atoms:
Ba: 0.000 0.500 0.000
Ba: 0.500 0.000 0.000
Hg: 0.500 0.500 0.500
Rh: 0.000 0.000 0.000
Sr: 0.000 0.000 0.500

Values from the calculation:
energy relative to the elements: -1.10 eV per formula unit
calculated volume: 42.289 Å³ per atom
SG: P4/mmm (123)
offset from the most stable computed form: 0 kJ/mol of formula units

---

## BaSr2HgRh (GGA-PBE)

Data for a relaxed structure of BaSr2HgRh.

Lattice parameters (Å, degrees): 5.735 5.735 5.590 90.00 90.00 90.00
Fractional coordinates of all 5 atoms:
Hg: 0.000 0.000 0.500
Ba: 0.500 0.500 0.500
Sr: 0.500 0.000 0.000
Sr: 0.000 0.500 0.000
Rh: 0.000 0.000 0.000

Values from the calculation:
energy relative to the elements: -0.77 eV per formula unit
calculated volume: 36.765 Å³ per atom
SG: P4/mmm (123)
offset from the most stable computed form: 35 kJ/mol of formula units

---

## BaSr2HgRh (GGA-PBE)

Data for a relaxed structure of BaSr2HgRh.

Lattice parameters (Å, degrees): 5.817 5.817 5.986 90.00 90.00 90.00
Fractional coordinates of all 5 atoms:
Hg: 0.500 0.500 0.500
Sr: 0.000 0.500 0.000
Sr: 0.500 0.000 0.000
Ba: 0.000 0.000 0.500
Rh: 0.000 0.000 0.000

Values from the calculation:
energy relative to the elements: -1.14 eV per formula unit
calculated volume: 40.510 Å³ per atom
SG: P4/mmm (123)
offset from the most stable computed form: 0 kJ/mol of formula units

---

## Ba2HgTeRh (GGA-PBE)

Data for a relaxed structure of Ba2HgTeRh.

Lattice parameters (Å, degrees): 5.951 5.951 5.174 90.00 90.00 90.00
Fractional coordinates of all 5 atoms:
Rh: 0.000 0.000 0.000
Hg: 0.000 0.000 0.500
Te: 0.500 0.500 0.500
Ba: 0.500 0.000 0.000
Ba: 0.000 0.500 0.000

Values from the calculation:
calculated volume: 36.644 Å³ per atom
SG: P4/mmm (123)
ΔE_f (raw): -351 kJ/mol of formula units

---

## Ba2TiHgRh (GGA-PBE)

Data for a relaxed structure of Ba2TiHgRh.

Lattice parameters (Å, degrees): 6.252 4.646 6.252 90.00 90.00 90.00
Fractional coordinates of all 5 atoms:
Ti: 0.000 0.500 0.000
Ba: 0.000 0.000 0.500
Ba: 0.500 0.000 0.000
Hg: 0.500 0.500 0.500
Rh: 0.000 0.000 0.000

Values from the calculation:
energy relative to the elements: 0.15 eV per formula unit
calculated volume: 36.322 Å³ per atom
SG: P4/mmm (123)

---

## Ba2TlHgRh (GGA-PBE)

Data for a relaxed structure of Ba2TlHgRh.

Lattice parameters (Å, degrees): 5.930 5.930 5.338 90.00 90.00 90.00
Fractional coordinates of all 5 atoms:
Hg: 0.000 0.000 0.500
Ba: 0.000 0.500 0.000
Ba: 0.500 0.000 0.000
Tl: 0.500 0.500 0.500
Rh: 0.000 0.000 0.000

Values from the calculation:
energy relative to the elements: -0.97 eV per formula unit
calculated volume: 37.539 Å³ per atom
SG: P4/mmm (123)
offset from the most stable computed form: 54 kJ/mol of formula units

---

## Ba2TlHgRh (GGA-PBE)

Data for a relaxed structure of Ba2TlHgRh.

Lattice parameters (Å, degrees): 6.009 6.009 5.293 90.00 90.00 90.00
Fractional coordinates of all 5 atoms:
Hg: 0.500 0.500 0.500
Tl: 0.000 0.000 0.500
Ba: 0.500 0.000 0.000
Ba: 0.000 0.500 0.000
Rh: 0.000 0.000 0.000

Values from the calculation:
energy relative to the elements: -1.53 eV per formula unit
calculated volume: 38.225 Å³ per atom
SG: P4/mmm (123)
offset from the most stable computed form: 0 kJ/mol of formula units

---

## BaTlHg2Rh (GGA-PBE)

Data for a relaxed structure of BaTlHg2Rh.

Lattice parameters (Å, degrees): 5.343 5.343 5.230 90.00 90.00 90.00
Fractional coordinates of all 5 atoms:
Rh: 0.000 0.000 0.000
Tl: 0.000 0.000 0.500
Hg: 0.500 0.000 0.000
Hg: 0.000 0.500 0.000
Ba: 0.500 0.500 0.500

Values from the calculation:
energy relative to the elements: -1.35 eV per formula unit
calculated volume: 29.863 Å³ per atom
SG: P4/mmm (123)

---

## Ba2ZnHgRh (GGA-PBE)

Data for a relaxed structure of Ba2ZnHgRh.

Lattice parameters (Å, degrees): 6.001 6.001 4.878 90.00 90.00 90.00
Fractional coordinates of all 5 atoms:
Hg: 0.500 0.500 0.500
Ba: 0.000 0.500 0.000
Ba: 0.500 0.000 0.000
Rh: 0.000 0.000 0.000
Zn: 0.000 0.000 0.500

Values from the calculation:
energy relative to the elements: -1.40 eV per formula unit
calculated volume: 35.132 Å³ per atom
SG: P4/mmm (123)

---

## BaZnHg2Rh (GGA-PBE)

Data for a relaxed structure of BaZnHg2Rh.

Lattice parameters (Å, degrees): 5.313 5.313 4.886 90.00 90.00 90.00
Fractional coordinates of all 5 atoms:
Rh: 0.000 0.000 0.000
Hg: 0.000 0.500 0.000
Hg: 0.500 0.000 0.000
Ba: 0.500 0.500 0.500
Zn: 0.000 0.000 0.500

Values from the calculation:
energy relative to the elements: -1.51 eV per formula unit
calculated volume: 27.591 Å³ per atom
SG: P4/mmm (123)

---

## Ba2HgRu (GGA-PBE)

Data for a relaxed structure of Ba2HgRu.

Lattice parameters (Å, degrees): 9.501 9.501 9.501 25.89 25.89 25.89
Last column: magnetic moment on the atom in μB.
Fractional coordinates of all 4 atoms:
Hg: 0.250 0.250 0.250  -0.01
Ru: 0.750 0.750 0.750  0.73
Ba: 0.014 0.014 0.014  -0.03
Ba: 0.486 0.486 0.486  -0.03

Values from the calculation:
energy relative to the elements: 1.25 eV per formula unit
calculated volume: 35.993 Å³ per atom
SG: R-3m (166)

---

## Ba2HgRu (GGA-PBE)

Data for a relaxed structure of Ba2HgRu.

Lattice parameters (Å, degrees): 3.846 3.798 9.398 66.22 90.00 90.00
Fractional coordinates of all 4 atoms:
Ru: 0.500 0.750 0.750
Ba: 0.000 0.036 0.964
Ba: 0.000 0.464 0.536
Hg: 0.500 0.250 0.250

Values from the calculation:
energy relative to the elements: 0.58 eV per formula unit
calculated volume: 31.406 Å³ per atom
SG: P2/m (10)

---

> Among the records above, which one has the lowest calculated volume?

BaZnHg2Rh